An optimized crystal structure of Li8P6Pt, computed with PBE.

The mass density is 2.8 Mg/m³. The total energy comes out at -3.966 eV per atom. As for the size of the total moment: 0.00 Bohr magnetons per cell.

The space group is R-3 (No. 148, hexagonal axes) and the conventional cell measures 7.9352, 7.9352 and 14.1433 Å, with angles of 90.00, 90.00 and 120.00 degrees. Symmetry generates all atoms from Li at (0.0000, 0.0000, 0.1441), Li at (0.0456, 0.7993, 0.6408), P at (0.0055, 0.6097, 0.1365) and Pt at (0.0000, 0.0000, 0.5000).